Entry from Alexandria: crystalline Pa2Tl2NiSe6 at its relaxed geometry (PBE).

```
data_Pa2Tl2NiSe6
_space_group_name_H-M_alt 'P 1'
_space_group_IT_number 1
_cell_length_a 7.0879
_cell_length_b 7.0879
_cell_length_c 8.2882
_cell_angle_alpha 97.57
_cell_angle_beta 97.57
_cell_angle_gamma 123.21
loop_
_space_group_symop_operation_xyz
'x,y,z'
loop_
_atom_site_label
_atom_site_fract_x
_atom_site_fract_y
_atom_site_fract_z
_atom_site_occupancy
Tl1 0.1613 0.8387 0.0000 1
Pa1 0.3379 0.6621 0.5000 1
Se1 0.5870 0.9381 0.2953 1
Se2 0.9381 0.5870 0.2953 1
Se3 0.7648 0.7648 0.6794 1
Se4 0.2352 0.2352 0.3206 1
Se5 0.0619 0.4130 0.7047 1
Tl2 0.8387 0.1613 0.0000 1
Ni1 0.0000 0.0000 0.5000 1
Pa2 0.6621 0.3379 0.5000 1
Se6 0.4130 0.0619 0.7047 1
```

Symmetry: No. 12
Total magnetic moment (μB per atom): 0.014
V (Å³/atom): 30.43
Uncorrected energy (eV/atom): -5.45
Energy relative to the elements, uncorrected (eV per atom): -0.867



Entry from Alexandria: crystalline Er4In3Ga at its relaxed geometry (PBE).

```
data_Er4In3Ga
_space_group_name_H-M_alt 'P 1'
_space_group_IT_number 1
_cell_length_a 3.6103
_cell_length_b 3.6103
_cell_length_c 15.3867
_cell_angle_alpha 90.00
_cell_angle_beta 90.00
_cell_angle_gamma 90.00
loop_
_space_group_symop_operation_xyz
'x,y,z'
loop_
_atom_site_label
_atom_site_fract_x
_atom_site_fract_y
_atom_site_fract_z
_atom_site_occupancy
In1 0.5000 0.5000 0.7575 1
Er1 0.0000 0.0000 0.1135 1
In2 0.5000 0.5000 0.5000 1
Ga1 0.5000 0.5000 0.0000 1
Er2 0.0000 0.0000 0.8865 1
In3 0.5000 0.5000 0.2425 1
Er3 0.0000 0.0000 0.6295 1
Er4 0.0000 0.0000 0.3705 1
```

Symmetry: No. 123
Total magnetic moment (μB per atom): 0.000
V (Å³/atom): 25.07
Uncorrected energy (eV/atom): -4.16
E_form (eV/f.u.): -3.8



Entry from Alexandria: crystalline TaGe2 at its relaxed geometry (PBE).

```
data_TaGe2
_space_group_name_H-M_alt 'P 1'
_space_group_IT_number 1
_cell_length_a 5.0025
_cell_length_b 5.0025
_cell_length_c 6.8101
_cell_angle_alpha 90.00
_cell_angle_beta 90.00
_cell_angle_gamma 120.00
loop_
_space_group_symop_operation_xyz
'x,y,z'
loop_
_atom_site_label
_atom_site_fract_x
_atom_site_fract_y
_atom_site_fract_z
_atom_site_occupancy
Ge1 0.6713 0.8357 0.6667 1
Ta1 0.0000 0.5000 0.6667 1
Ge2 0.1643 0.3287 0.3333 1
Ge3 0.1643 0.8357 0.0000 1
Ge4 0.8357 0.6713 0.3333 1
Ge5 0.8357 0.1643 0.0000 1
Ge6 0.3287 0.1643 0.6667 1
Ta2 0.5000 0.5000 0.0000 1
Ta3 0.5000 0.0000 0.3333 1
```

Symmetry: No. 181
Total magnetic moment (μB per atom): 0.000
V (Å³/atom): 16.40
Uncorrected energy (eV/atom): -7.26
E_form (eV/f.u.): -0.7



Entry from Alexandria: crystalline LuPaFeIr at its relaxed geometry (PBE).

```
data_LuPaFeIr
_space_group_name_H-M_alt 'P 1'
_space_group_IT_number 1
_cell_length_a 4.7884
_cell_length_b 4.7884
_cell_length_c 4.7884
_cell_angle_alpha 60.00
_cell_angle_beta 60.00
_cell_angle_gamma 60.00
loop_
_space_group_symop_operation_xyz
'x,y,z'
loop_
_atom_site_label
_atom_site_fract_x
_atom_site_fract_y
_atom_site_fract_z
_atom_site_occupancy
Ir1 0.7500 0.7500 0.7500 1
Fe1 0.2500 0.2500 0.2500 1
Pa1 0.5000 0.5000 0.5000 1
Lu1 0.0000 0.0000 0.0000 1
```

Symmetry: No. 216
Total magnetic moment (μB per atom): 0.273
V (Å³/atom): 19.41
Uncorrected energy (eV/atom): -8.23
E_form (eV/f.u.): -1.6



Entry from Alexandria: crystalline AcPa2TcN4 at its relaxed geometry (PBE).

```
data_AcPa2TcN4
_space_group_name_H-M_alt 'P 1'
_space_group_IT_number 1
_cell_length_a 3.4556
_cell_length_b 6.3345
_cell_length_c 11.8792
_cell_angle_alpha 90.00
_cell_angle_beta 90.00
_cell_angle_gamma 105.83
loop_
_space_group_symop_operation_xyz
'x,y,z'
loop_
_atom_site_label
_atom_site_fract_x
_atom_site_fract_y
_atom_site_fract_z
_atom_site_occupancy
Tc1 0.1605 0.3210 0.2500 1
N1 0.7327 0.4655 0.6066 1
Pa1 0.6321 0.2642 0.0557 1
Ac1 0.8995 0.7991 0.2500 1
N2 0.2673 0.5345 0.1066 1
N3 0.7327 0.4655 0.8934 1
N4 0.0000 0.0000 0.5000 1
N5 0.0000 0.0000 0.0000 1
Pa2 0.6321 0.2642 0.4443 1
Tc2 0.8395 0.6790 0.7500 1
N6 0.4442 0.8884 0.7500 1
N7 0.5558 0.1116 0.2500 1
Pa3 0.3679 0.7358 0.9443 1
N8 0.2673 0.5345 0.3934 1
Ac2 0.1005 0.2009 0.7500 1
Pa4 0.3679 0.7358 0.5557 1
```

Symmetry: No. 63
Total magnetic moment (μB per atom): 0.000
V (Å³/atom): 15.64
Uncorrected energy (eV/atom): -9.57
Energy relative to the elements, uncorrected (eV per atom): -1.223



Entry from Alexandria: crystalline Pm3TaTe2O6 at its relaxed geometry (PBE).

```
data_Pm3TaTe2O6
_space_group_name_H-M_alt 'P 1'
_space_group_IT_number 1
_cell_length_a 6.1791
_cell_length_b 6.4957
_cell_length_c 6.8454
_cell_angle_alpha 118.32
_cell_angle_beta 78.76
_cell_angle_gamma 90.00
loop_
_space_group_symop_operation_xyz
'x,y,z'
loop_
_atom_site_label
_atom_site_fract_x
_atom_site_fract_y
_atom_site_fract_z
_atom_site_occupancy
O1 0.6871 0.2853 0.1051 1
Pm1 0.0000 0.5000 0.0000 1
O2 0.3129 0.7147 0.8949 1
Te1 0.9324 0.2525 0.5049 1
Te2 0.0676 0.7475 0.4951 1
Pm2 0.5000 0.5000 0.5000 1
O3 0.6573 0.8370 0.6739 1
Pm3 0.5000 0.0000 0.5000 1
Ta1 0.5000 0.0000 0.0000 1
O4 0.3427 0.1630 0.3261 1
O5 0.6871 0.8198 0.1051 1
O6 0.3129 0.1802 0.8949 1
```

Symmetry: No. 12
Total magnetic moment (μB per atom): 0.000
V (Å³/atom): 19.66
Uncorrected energy (eV/atom): -7.37
Energy relative to the elements, uncorrected (eV per atom): -2.188



Q: Which value of total magnetic moment does entry 3 give?
A: 0.000 μB per atom



Q: What is the uncorrected energy in the fifth record?
A: -9.57 eV/atom



Q: The highest uncorrected energy belongs to which entry?
A: Er4In3Ga